# SnSb2TeCl, optimized geometry, DFT PBE
data_SnSb2TeCl
_cell_length_a 5.306
_cell_length_b 5.306
_cell_length_c 5.624
_cell_angle_alpha 90.00
_cell_angle_beta 90.00
_cell_angle_gamma 90.00
_symmetry_space_group_name_H-M 'P 4/m m m'
_symmetry_Int_Tables_number 123
_symmetry_space_group_name_Hall '-P 4 2'
loop_
_atom_site_label
_atom_site_type_symbol
_atom_site_fract_x
_atom_site_fract_y
_atom_site_fract_z
Sn1 Sn 0.000 0.000 0.000
Sb1 Sb 0.000 0.500 0.500
Te1 Te 0.500 0.500 0.000
Cl1 Cl 0.500 0.500 0.500
# - VASP energy: -2.86 eV/atom